(1)
First-principles (PBE) data for a geometry-optimized In3Pt structure, as listed in the Alexandria database.

Structure (extended XYZ):
```
4
Lattice="4.435 0.000 0.000 0.000 4.435 0.000 0.000 0.000 4.435" Properties=species:S:1:pos:R:3 pbc="T T T"
In 0.000 0.000 2.217
In 0.000 2.217 0.000
In 2.217 0.000 0.000
Pt 2.217 2.217 2.217
```

Calculated values
The calculated formation energy comes out at -0.031 eV/atom. The value obtained for the calculated density is 10.27 g cm⁻³. The space-group type is Pm-3m (221). The total energy comes out at -14.4 eV per formula unit.

(2)
First-principles (PBE) data for a geometry-optimized In3Pt structure, as listed in the Alexandria database.

Structure (extended XYZ):
```
4
Lattice="1.849 1.067 8.299 -1.849 1.067 8.299 0.000 -2.135 8.299" Properties=species:S:1:pos:R:3 pbc="T T T"
In 0.000 0.000 0.000
In 0.000 0.000 5.849
In 0.000 0.000 19.048
Pt 0.000 0.000 12.448
```

Calculated values
The calculated formation energy comes out at -0.156 eV/atom. The value obtained for the calculated density is 9.12 g cm⁻³. The space-group type is R-3m (166). The total energy comes out at -14.9 eV per formula unit.

(3)
First-principles (PBE) data for a geometry-optimized InPt2 structure, as listed in the Alexandria database.

Structure (extended XYZ):
```
3
Lattice="-1.473 1.935 4.520 1.473 -1.935 4.520 1.473 1.935 -4.520" Properties=species:S:1:pos:R:3 pbc="T T T"
In 0.000 0.000 0.000
Pt 0.000 0.000 3.044
Pt 0.000 0.000 5.997
```

Calculated values
The calculated formation energy comes out at -0.308 eV/atom. The value obtained for the calculated density is 16.28 g cm⁻³. The space-group type is Immm (71). The total energy comes out at -15.7 eV per formula unit.

(4)
First-principles (PBE) data for a geometry-optimized In2Pt structure, as listed in the Alexandria database.

Structure (extended XYZ):
```
3
Lattice="-1.880 1.880 4.291 1.880 -1.880 4.291 1.880 1.880 -4.291" Properties=species:S:1:pos:R:3 pbc="T T T"
In 0.000 0.000 1.388
In 0.000 0.000 7.194
Pt 0.000 0.000 4.291
```

Calculated values
The calculated formation energy comes out at -0.230 eV/atom. The value obtained for the calculated density is 11.63 g cm⁻³. The space-group type is I4/mmm (139). The total energy comes out at -12.2 eV per formula unit.

(5)
First-principles (PBE) data for a geometry-optimized InPt2 structure, as listed in the Alexandria database.

Structure (extended XYZ):
```
3
Lattice="3.854 0.000 0.000 0.000 3.854 0.000 0.000 0.000 4.065" Properties=species:S:1:pos:R:3 pbc="T T T"
In 0.000 0.000 0.000
Pt 0.000 1.927 2.032
Pt 1.927 0.000 2.032
```

Calculated values
The calculated formation energy comes out at -0.219 eV/atom. The value obtained for the calculated density is 13.89 g cm⁻³. The space-group type is P4/mmm (123). The total energy comes out at -15.5 eV per formula unit.

(6)
First-principles (PBE) data for a geometry-optimized In3Pt5 structure, as listed in the Alexandria database.

Structure (extended XYZ):
```
8
Lattice="4.118 0.000 0.000 -2.059 3.567 0.000 0.000 0.000 11.058" Properties=species:S:1:pos:R:3 pbc="T T T"
In 0.000 0.000 0.000
In 2.059 1.189 2.929
In 2.059 1.189 8.128
Pt 0.000 0.000 5.529
Pt 0.000 2.378 1.406
Pt 0.000 2.378 4.194
Pt 0.000 2.378 6.864
Pt 0.000 2.378 9.652
```

Calculated values
The calculated formation energy comes out at -0.303 eV/atom. The value obtained for the calculated density is 13.49 g cm⁻³. The space-group type is P-6m2 (187). The total energy comes out at -40.8 eV per formula unit.

(7)
First-principles (PBE) data for a geometry-optimized InPt4 structure, as listed in the Alexandria database.

Structure (extended XYZ):
```
5
Lattice="-1.850 1.850 6.714 1.850 -1.850 6.714 1.850 1.850 -6.714" Properties=species:S:1:pos:R:3 pbc="T T T"
In 0.000 0.000 0.000
Pt 1.850 0.000 3.357
Pt 0.000 0.000 5.403
Pt 0.000 0.000 8.025
Pt 0.000 1.850 3.357
```

Calculated values
As for the energy above the most stable polymorph in this dataset: 255 meV per atom. The calculated formation energy comes out at 0.008 eV/atom. The value obtained for the calculated density is 16.17 g cm⁻³. The space-group type is I4/mmm (139). The total energy comes out at -26.9 eV per formula unit.

(8)
First-principles (PBE) data for a geometry-optimized In3Pt structure, as listed in the Alexandria database.

Structure (extended XYZ):
```
4
Lattice="2.796 -3.999 0.000 2.796 3.999 0.000 0.000 0.000 3.952" Properties=species:S:1:pos:R:3 pbc="T T T"
In 0.000 0.000 0.000
In 1.398 2.000 1.976
In 1.398 -2.000 1.976
Pt 2.796 0.000 0.000
```

Calculated values
The calculated formation energy comes out at -0.047 eV/atom. The value obtained for the calculated density is 10.14 g cm⁻³. The space-group type is Cmmm (65). The total energy comes out at -14.4 eV per formula unit.

(9)
First-principles (PBE) data for a geometry-optimized InPt2 structure, as listed in the Alexandria database.

Structure (extended XYZ):
```
9
Lattice="7.811 0.000 0.000 -3.905 6.764 0.000 0.000 0.000 2.935" Properties=species:S:1:pos:R:3 pbc="T T T"
In 0.000 0.000 0.000
In 0.000 4.509 1.468
In 3.905 2.255 1.468
Pt -1.176 2.037 1.468
Pt -2.475 4.287 0.000
Pt 2.353 0.000 1.468
Pt 1.430 2.477 0.000
Pt 4.951 0.000 0.000
Pt 2.729 4.727 1.468
```

Calculated values
The calculated formation energy comes out at -0.293 eV/atom. The value obtained for the calculated density is 16.22 g cm⁻³. The space-group type is P-62m (189). The total energy comes out at -15.7 eV per formula unit.

(10)
First-principles (PBE) data for a geometry-optimized In4Pt structure, as listed in the Alexandria database.

Structure (extended XYZ):
```
5
Lattice="5.223 0.000 0.000 0.000 5.223 0.000 0.000 0.000 5.223" Properties=species:S:1:pos:R:3 pbc="T T T"
In 0.000 0.000 0.000
In 0.000 2.612 2.612
In 2.612 0.000 2.612
In 2.612 2.612 0.000
Pt 2.612 2.612 2.612
```

Calculated values
The calculated formation energy comes out at -0.105 eV/atom. The value obtained for the calculated density is 7.62 g cm⁻³. The space-group type is Pm-3m (221). The total energy comes out at -17.5 eV per formula unit.

(11)
First-principles (PBE) data for a geometry-optimized InPt2 structure, as listed in the Alexandria database.

Structure (extended XYZ):
```
3
Lattice="4.505 0.000 0.000 -2.253 3.902 0.000 0.000 0.000 2.964" Properties=species:S:1:pos:R:3 pbc="T T T"
In 0.000 0.000 0.000
Pt 0.000 2.601 0.914
Pt 2.253 1.301 2.050
```

Calculated values
The calculated formation energy comes out at -0.249 eV/atom. The value obtained for the calculated density is 16.09 g cm⁻³. The space-group type is P-3m1 (164). The total energy comes out at -15.6 eV per formula unit.

(12)
First-principles (PBE) data for a geometry-optimized InPt3 structure, as listed in the Alexandria database.

Structure (extended XYZ):
```
4
Lattice="2.967 0.000 0.000 0.000 4.679 0.000 0.000 0.000 4.822" Properties=species:S:1:pos:R:3 pbc="T T T"
In 0.000 0.000 0.000
Pt 0.000 2.339 1.851
Pt 1.483 0.000 2.383
Pt 1.483 2.339 4.192
```

Calculated values
The calculated formation energy comes out at -0.263 eV/atom. The value obtained for the calculated density is 17.36 g cm⁻³. The space-group type is Pmm2 (25). The total energy comes out at -21.9 eV per formula unit.